1.
Material: CsGaS2O8
Method: DFT, PBE
State: relaxed

Lattice parameters (Å, degrees): 5.0419 5.0419 8.9207 90.00 90.00 120.00
Element x y z (fractional)
1 Cs 0.0000 0.0000 0.0000
2 Ga 0.0000 0.0000 0.5000
3 S 0.3333 0.6667 0.6929
4 S 0.6667 0.3333 0.3071
5 O 0.1223 0.3496 0.6383
6 O 0.2273 0.8777 0.6383
7 O 0.3333 0.6667 0.8567
8 O 0.3496 0.1223 0.3617
9 O 0.6504 0.7727 0.6383
10 O 0.6667 0.3333 0.1433
11 O 0.7727 0.6504 0.3617
12 O 0.8777 0.2273 0.3617

Properties
For the uncorrected formation energy, the calculation gives -1585.5 meV/atom. As for the total energy: -5.902 eV/atom. As for the density of states at the Fermi level: 0.000 states/eV/atom.

---

2.
Material: CsGa2SbO6
Method: DFT, PBE
State: relaxed

Lattice parameters (Å, degrees): 6.9154 6.9154 6.6094 90.00 90.00 101.86
Element x y z (fractional)
1 Cs 0.0726 0.9274 0.7500
2 Cs 0.9274 0.0726 0.2500
3 Ga 0.2206 0.4622 0.7500
4 Ga 0.4622 0.2206 0.2500
5 Ga 0.5378 0.7794 0.7500
6 Ga 0.7794 0.5378 0.2500
7 Sb 0.3270 0.6730 0.2500
8 Sb 0.6730 0.3270 0.7500
9 O 0.0354 0.6608 0.2500
10 O 0.2793 0.3793 0.2500
11 O 0.3281 0.6719 0.5603
12 O 0.3281 0.6719 0.9397
13 O 0.3392 0.9646 0.2500
14 O 0.3793 0.2793 0.7500
15 O 0.6207 0.7207 0.2500
16 O 0.6608 0.0354 0.7500
17 O 0.6719 0.3281 0.0603
18 O 0.6719 0.3281 0.4397
19 O 0.7207 0.6207 0.7500
20 O 0.9646 0.3392 0.7500

Properties
For the uncorrected formation energy, the calculation gives -1638.1 meV/atom. As for the total energy: -5.716 eV/atom. As for the density of states at the Fermi level: 0.000 states/eV/atom.

---

3.
Material: Cs2ScGaO4
Method: DFT, PBE
State: relaxed

Lattice parameters (Å, degrees): 13.0323 11.6573 6.9293 85.01 63.01 31.98
Element x y z (fractional)
1 Cs 0.0501 0.0501 0.6999
2 Cs 0.3001 0.3001 0.9499
3 Cs 0.6999 0.6999 0.0501
4 Cs 0.9499 0.9499 0.3001
5 Sc 0.1250 0.1250 0.1250
6 Sc 0.8750 0.8750 0.8750
7 Ga 0.3750 0.3750 0.3750
8 Ga 0.6250 0.6250 0.6250
9 O 0.0136 0.6513 0.5730
10 O 0.2622 0.5730 0.6513
11 O 0.3487 0.9864 0.7378
12 O 0.4270 0.7378 0.9864
13 O 0.5730 0.2622 0.0136
14 O 0.6513 0.0136 0.2622
15 O 0.7378 0.4270 0.3487
16 O 0.9864 0.3487 0.4270

Properties
For the uncorrected formation energy, the calculation gives -2091.3 meV/atom. As for the total energy: -5.954 eV/atom. As for the density of states at the Fermi level: 0.000 states/eV/atom.

---

4.
Material: CsGaSe2O8
Method: DFT, PBE
State: relaxed

Lattice parameters (Å, degrees): 5.0742 5.0742 9.2719 90.00 90.00 120.00
Element x y z (fractional)
1 Cs 0.0000 0.0000 0.0000
2 Ga 0.0000 0.0000 0.5000
3 Se 0.3333 0.6667 0.6858
4 Se 0.6667 0.3333 0.3142
5 O 0.0389 0.3324 0.6292
6 O 0.2935 0.9611 0.6292
7 O 0.3324 0.2935 0.3708
8 O 0.3333 0.6667 0.8634
9 O 0.6667 0.3333 0.1366
10 O 0.6676 0.7065 0.6292
11 O 0.7065 0.0389 0.3708
12 O 0.9611 0.6676 0.3708

Properties
For the uncorrected formation energy, the calculation gives -1105.6 meV/atom. As for the total energy: -5.315 eV/atom. As for the density of states at the Fermi level: 0.000 states/eV/atom.

---

5.
Material: CsGaSe2O6
Method: DFT, PBE
State: relaxed

Lattice parameters (Å, degrees): 7.6279 7.6279 18.6901 106.46 106.46 42.88
Element x y z (fractional)
1 Cs 0.0000 0.0000 0.0000
2 Cs 0.0498 0.0498 0.7070
3 Cs 0.5000 0.5000 0.5000
4 Cs 0.9502 0.9502 0.2930
5 Ga 0.2991 0.2991 0.6349
6 Ga 0.3427 0.3427 0.1278
7 Ga 0.6573 0.6573 0.8722
8 Ga 0.7009 0.7009 0.3651
9 Se 0.2064 0.2064 0.4540
10 Se 0.2362 0.2362 0.9447
11 Se 0.2426 0.2426 0.2677
12 Se 0.4469 0.4469 0.8195
13 Se 0.5531 0.5531 0.1805
14 Se 0.7574 0.7574 0.7323
15 Se 0.7638 0.7638 0.0553
16 Se 0.7936 0.7936 0.5460
17 O 0.0170 0.4975 0.8923
18 O 0.0353 0.5167 0.3294
19 O 0.1094 0.6250 0.5889
20 O 0.1804 0.1804 0.5394
21 O 0.2406 0.6888 0.1526
22 O 0.3112 0.7594 0.8474
23 O 0.3447 0.3447 0.2361
24 O 0.3463 0.3463 0.0178
25 O 0.3750 0.8906 0.4111
26 O 0.4204 0.4204 0.7223
27 O 0.4833 0.9647 0.6706
28 O 0.4975 0.0170 0.8923
29 O 0.5025 0.9830 0.1077
30 O 0.5167 0.0353 0.3294
31 O 0.5796 0.5796 0.2777
32 O 0.6250 0.1094 0.5889
33 O 0.6537 0.6537 0.9822
34 O 0.6553 0.6553 0.7639
35 O 0.6888 0.2406 0.1526
36 O 0.7594 0.3112 0.8474
37 O 0.8196 0.8196 0.4606
38 O 0.8906 0.3750 0.4111
39 O 0.9647 0.4833 0.6706
40 O 0.9830 0.5025 0.1077

Properties
For the uncorrected formation energy, the calculation gives -1282.4 meV/atom. As for the total energy: -5.342 eV/atom. As for the density of states at the Fermi level: 0.000 states/eV/atom.

---

6.
Material: Cs2SmGaO4
Method: DFT, PBE
State: relaxed

Lattice parameters (Å, degrees): 13.5715 12.2487 7.0869 84.69 63.98 31.33
Element x y z (fractional)
1 Cs 0.0565 0.0565 0.6935
2 Cs 0.3065 0.3065 0.9435
3 Cs 0.6935 0.6935 0.0565
4 Cs 0.9435 0.9435 0.3065
5 Sm 0.1250 0.1250 0.1250
6 Sm 0.8750 0.8750 0.8750
7 Ga 0.3750 0.3750 0.3750
8 Ga 0.6250 0.6250 0.6250
9 O 0.0358 0.6333 0.5411
10 O 0.2898 0.5411 0.6333
11 O 0.3667 0.9642 0.7102
12 O 0.4589 0.7102 0.9642
13 O 0.5411 0.2898 0.0358
14 O 0.6333 0.0358 0.2898
15 O 0.7102 0.4589 0.3667
16 O 0.9642 0.3667 0.4589

Properties
For the uncorrected formation energy, the calculation gives -1901.8 meV/atom. As for the total energy: -5.562 eV/atom. As for the density of states at the Fermi level: 0.000 states/eV/atom.

---

7.
Material: Cs3SmGa2O6
Method: DFT, PBE
State: relaxed

Lattice parameters (Å, degrees): 6.3316 6.3316 7.8358 90.00 90.00 120.00
Element x y z (fractional)
1 Cs 0.0000 0.0000 0.0000
2 Cs 0.3333 0.6667 0.7565
3 Cs 0.6667 0.3333 0.2435
4 Sm 0.0000 0.0000 0.5000
5 Ga 0.3333 0.6667 0.3163
6 Ga 0.6667 0.3333 0.6837
7 O 0.1697 0.3395 0.3136
8 O 0.1697 0.8303 0.3136
9 O 0.3395 0.1697 0.6864
10 O 0.6605 0.8303 0.3136
11 O 0.8303 0.1697 0.6864
12 O 0.8303 0.6605 0.6864

Properties
For the uncorrected formation energy, the calculation gives -1964.5 meV/atom. As for the total energy: -5.555 eV/atom. As for the density of states at the Fermi level: 0.000 states/eV/atom.

---

8.
Material: Cs4Sm3GaO8
Method: DFT, PBE
State: relaxed

Lattice parameters (Å, degrees): 7.2442 7.2442 7.9767 115.80 115.80 57.99
Element x y z (fractional)
1 Cs 0.0000 0.0000 0.0000
2 Cs 0.0000 0.5000 0.0000
3 Cs 0.5000 0.0000 0.0000
4 Cs 0.5000 0.5000 0.0000
5 Sm 0.0000 0.0000 0.5000
6 Sm 0.0000 0.5000 0.5000
7 Sm 0.5000 0.0000 0.5000
8 Ga 0.5000 0.5000 0.5000
9 O 0.2152 0.2152 0.6668
10 O 0.2477 0.2477 0.3048
11 O 0.2569 0.6880 0.6492
12 O 0.3120 0.7431 0.3508
13 O 0.6880 0.2569 0.6492
14 O 0.7431 0.3120 0.3508
15 O 0.7523 0.7523 0.6952
16 O 0.7848 0.7848 0.3332

Properties
For the uncorrected formation energy, the calculation gives -2195.0 meV/atom. As for the total energy: -5.961 eV/atom. As for the density of states at the Fermi level: 0.000 states/eV/atom.

---

9.
Material: CsGaSnO4
Method: DFT, PBE
State: relaxed

Lattice parameters (Å, degrees): 5.6201 5.7332 7.8181 90.00 92.78 90.00
Element x y z (fractional)
1 Cs 0.2373 0.2500 0.1005
2 Cs 0.7627 0.7500 0.8995
3 Ga 0.3531 0.2500 0.6414
4 Ga 0.6469 0.7500 0.3586
5 Sn 0.1701 0.7500 0.4659
6 Sn 0.8299 0.2500 0.5341
7 O 0.1060 0.0201 0.6506
8 O 0.1060 0.4799 0.6506
9 O 0.3566 0.7500 0.2357
10 O 0.4858 0.2500 0.4287
11 O 0.5142 0.7500 0.5713
12 O 0.6434 0.2500 0.7643
13 O 0.8940 0.5201 0.3494
14 O 0.8940 0.9799 0.3494

Properties
For the uncorrected formation energy, the calculation gives -1626.5 meV/atom. As for the total energy: -5.586 eV/atom.

---

10.
Material: CsGa4Sn3O12
Method: DFT, PBE
State: relaxed

Lattice parameters (Å, degrees): 7.1137 7.1137 7.1137 108.83 108.83 108.83
Element x y z (fractional)
1 Cs 0.0000 0.0000 0.0000
2 Ga 0.0636 0.5000 0.9364
3 Ga 0.5000 0.5000 0.5000
4 Ga 0.5000 0.9364 0.0636
5 Ga 0.9364 0.0636 0.5000
6 Sn 0.0000 0.5573 0.4427
7 Sn 0.4427 0.0000 0.5573
8 Sn 0.5573 0.4427 0.0000
9 O 0.0979 0.9021 0.5000
10 O 0.1075 0.6595 0.7792
11 O 0.2208 0.3405 0.8925
12 O 0.3405 0.8925 0.2208
13 O 0.3415 0.6585 0.5000
14 O 0.5000 0.0979 0.9021
15 O 0.5000 0.3415 0.6585
16 O 0.6585 0.5000 0.3415
17 O 0.6595 0.7792 0.1075
18 O 0.7792 0.1075 0.6595
19 O 0.8925 0.2208 0.3405
20 O 0.9021 0.5000 0.0979

Properties
For the uncorrected formation energy, the calculation gives -1544.9 meV/atom. As for the total energy: -5.768 eV/atom. As for the density of states at the Fermi level: 0.130 states/eV/atom.

---

11.
Material: CsGa2SnO
Method: DFT, PBE
State: relaxed

Lattice parameters (Å, degrees): 4.7943 4.7943 5.4711 90.00 90.00 90.00
Element x y z (fractional)
1 Cs 0.0000 0.0000 0.0000
2 Ga 0.0000 0.5000 0.5000
3 Ga 0.5000 0.0000 0.5000
4 Sn 0.5000 0.5000 0.0000
5 O 0.0000 0.0000 0.5000

Properties
For the uncorrected formation energy, the calculation gives 11.6 meV/atom. As for the total energy: -3.162 eV/atom. As for the density of states at the Fermi level: 0.623 states/eV/atom.

---

12.
Material: CsSr2GaO4
Method: DFT, PBE
State: relaxed

Lattice parameters (Å, degrees): 6.8649 6.8649 12.4727 90.00 90.00 149.84
Element x y z (fractional)
1 Cs 0.0814 0.9186 0.7500
2 Cs 0.9186 0.0814 0.2500
3 Sr 0.3704 0.6296 0.5362
4 Sr 0.3704 0.6296 0.9638
5 Sr 0.6296 0.3704 0.0362
6 Sr 0.6296 0.3704 0.4638
7 Ga 0.1891 0.8109 0.2500
8 Ga 0.8109 0.1891 0.7500
9 O 0.0000 0.0000 0.0000
10 O 0.0000 0.0000 0.5000
11 O 0.2508 0.7492 0.1184
12 O 0.2508 0.7492 0.3816
13 O 0.3845 0.6155 0.7500
14 O 0.6155 0.3845 0.2500
15 O 0.7492 0.2508 0.6184
16 O 0.7492 0.2508 0.8816

Properties
For the uncorrected formation energy, the calculation gives -2224.0 meV/atom. As for the total energy: -5.609 eV/atom. As for the density of states at the Fermi level: 0.000 states/eV/atom.

---

13.
Material: CsSrGaO3
Method: DFT, PBE
State: relaxed

Lattice parameters (Å, degrees): 7.1058 7.1058 8.2972 104.84 104.84 33.48
Element x y z (fractional)
1 Cs 0.1480 0.1480 0.0700
2 Cs 0.8520 0.8520 0.9300
3 Sr 0.1535 0.1535 0.5771
4 Sr 0.8465 0.8465 0.4229
5 Ga 0.4915 0.4915 0.6992
6 Ga 0.5085 0.5085 0.3008
7 O 0.0082 0.0082 0.3143
8 O 0.3493 0.3493 0.6354
9 O 0.3676 0.3676 0.2355
10 O 0.6324 0.6324 0.7645
11 O 0.6507 0.6507 0.3646
12 O 0.9918 0.9918 0.6857

Properties
For the uncorrected formation energy, the calculation gives -1879.7 meV/atom. As for the total energy: -5.286 eV/atom.

---

14.
Material: Cs2GaTeO6
Method: DFT, PBE
State: relaxed

Lattice parameters (Å, degrees): 6.6482 6.6482 5.3287 90.00 90.00 120.00
Element x y z (fractional)
1 Cs 0.3333 0.6667 0.2444
2 Cs 0.6667 0.3333 0.7556
3 Ga 0.0000 0.0000 0.0000
4 Te 0.0000 0.0000 0.5000
5 O 0.1301 0.2602 0.7376
6 O 0.1301 0.8699 0.7376
7 O 0.2602 0.1301 0.2624
8 O 0.7398 0.8699 0.7376
9 O 0.8699 0.1301 0.2624
10 O 0.8699 0.7398 0.2624

Properties
For the uncorrected formation energy, the calculation gives -1324.9 meV/atom. As for the total energy: -5.087 eV/atom. As for the density of states at the Fermi level: 0.336 states/eV/atom.

---

15.
Material: CsTlGaO4
Method: DFT, PBE
State: relaxed

Lattice parameters (Å, degrees): 5.8535 5.9203 7.8033 90.00 99.40 90.00
Element x y z (fractional)
1 Cs 0.1950 0.2500 0.0992
2 Cs 0.8050 0.7500 0.9008
3 Tl 0.1645 0.7500 0.4614
4 Tl 0.8355 0.2500 0.5386
5 Ga 0.3619 0.2500 0.6609
6 Ga 0.6381 0.7500 0.3391
7 O 0.1388 0.0215 0.6721
8 O 0.1388 0.4785 0.6721
9 O 0.3420 0.7500 0.2139
10 O 0.4571 0.2500 0.4425
11 O 0.5429 0.7500 0.5575
12 O 0.6580 0.2500 0.7861
13 O 0.8612 0.5215 0.3279
14 O 0.8612 0.9785 0.3279

Properties
For the uncorrected formation energy, the calculation gives -1064.1 meV/atom. As for the total energy: -4.790 eV/atom. As for the density of states at the Fermi level: 0.616 states/eV/atom.

---

16.
Material: Cs2TlGaO4
Method: DFT, PBE
State: relaxed

Lattice parameters (Å, degrees): 12.8541 11.4712 7.0758 84.19 62.60 33.21
Element x y z (fractional)
1 Cs 0.0544 0.0544 0.6956
2 Cs 0.3044 0.3044 0.9456
3 Cs 0.6956 0.6956 0.0544
4 Cs 0.9456 0.9456 0.3044
5 Tl 0.1250 0.1250 0.1250
6 Tl 0.8750 0.8750 0.8750
7 Ga 0.3750 0.3750 0.3750
8 Ga 0.6250 0.6250 0.6250
9 O 0.0321 0.6359 0.5445
10 O 0.2875 0.5445 0.6359
11 O 0.3641 0.9679 0.7125
12 O 0.4555 0.7125 0.9679
13 O 0.5445 0.2875 0.0321
14 O 0.6359 0.0321 0.2875
15 O 0.7125 0.4555 0.3641
16 O 0.9679 0.3641 0.4555

Properties
For the uncorrected formation energy, the calculation gives -1257.0 meV/atom. As for the total energy: -4.624 eV/atom. As for the density of states at the Fermi level: 0.000 states/eV/atom.

---

17.
Material: Cs3TmGa2O6
Method: DFT, PBE
State: relaxed

Lattice parameters (Å, degrees): 6.2129 6.2129 7.7540 90.00 90.00 120.00
Element x y z (fractional)
1 Cs 0.0000 0.0000 0.0000
2 Cs 0.3333 0.6667 0.7627
3 Cs 0.6667 0.3333 0.2373
4 Tm 0.0000 0.0000 0.5000
5 Ga 0.3333 0.6667 0.3270
6 Ga 0.6667 0.3333 0.6730
7 O 0.1667 0.3334 0.3209
8 O 0.1667 0.8333 0.3209
9 O 0.3334 0.1667 0.6791
10 O 0.6666 0.8333 0.3209
11 O 0.8333 0.1667 0.6791
12 O 0.8333 0.6666 0.6791

Properties
For the uncorrected formation energy, the calculation gives -1992.9 meV/atom. As for the total energy: -5.562 eV/atom. As for the density of states at the Fermi level: 0.000 states/eV/atom.